A plane-wave DFT calculation with PBE was carried out for a relaxed BaSr3Ca5 crystal.

CIF file:
```
data_BaSr3Ca5
_cell_length_a 21.8298
_cell_length_b 7.0467
_cell_length_c 13.3444
_cell_angle_alpha 90.00
_cell_angle_beta 116.44
_cell_angle_gamma 90.00
_space_group_name_H-M_alt 'C 1 2/c 1'
_space_group_IT_number 15
loop_
_space_group_symop_operation_xyz
'x,y,z'
'-x,-y,-z'
'-x,y,-z+1/2'
'x,-y,z+1/2'
'x+1/2,y+1/2,z'
'-x+1/2,-y+1/2,-z'
'-x+1/2,y+1/2,-z+1/2'
'x+1/2,-y+1/2,z+1/2'
loop_
_atom_site_label
_atom_site_fract_x
_atom_site_fract_y
_atom_site_fract_z
Ba1 0.0000 0.0629 0.2500
Sr1 0.0000 0.5000 0.0000
Sr2 0.1657 0.2364 0.0246
Ca1 0.0000 0.4297 0.7500
Ca2 0.1594 0.2217 0.6968
Ca3 0.1779 0.2967 0.3529
```

For the calculated formation energy, the calculation gives 0.197 eV per atom. The calculation puts the calculated volume at 51.1 Å³ per atom. For the total moment, the calculation gives 0.00 μB/atom. Its energy above the most stable polymorph in this dataset is 2.84 kcal/mol of atoms.